AcSn2H: relaxed, GGA-PBE.

Values from the calculation:
Crystal system: tetragonal
DOS(E_F) (states/eV/f.u.): 3.97
Symmetry: P4/mmm (123)
Energy above the lowest structure with this stoichiometry (meV per atom): 146

abc: 3.591 3.591 7.671
angles: 90.00 90.00 90.00
Site moments in Bohr magnetons follow the coordinates.
Sites, in units of the cell vectors:
Sn1 0.000 0.000 0.185  0.01
H1 0.500 0.500 0.000  0.01
Ac1 0.500 0.500 0.500  0.07
Sn2 0.000 0.000 0.815  0.01

SrAc2H6: relaxed, GGA-PBE.

Values from the calculation:
Uncorrected energy (eV/cell): -35.15
Crystal system: orthorhombic
DOS(E_F) (states/eV/f.u.): 2.05
Symmetry: Immm (71)

abc: 4.138 5.852 7.208
angles: 113.95 106.69 90.00
Sites, in units of the cell vectors:
H1 0.169 0.918 0.337
H2 0.500 0.254 0.000
Sr1 0.000 0.000 0.000
H3 0.500 0.746 0.000
Ac1 0.334 0.335 0.669
H4 0.831 0.581 0.663
Ac2 0.666 0.665 0.331
H5 0.169 0.419 0.337
H6 0.831 0.082 0.663

SrAcH: relaxed, GGA-PBE.

Values from the calculation:
Crystal system: trigonal
DOS(E_F) (states/eV/f.u.): 2.38
Symmetry: P3m1 (156)
Energy above the lowest structure with this stoichiometry (meV per atom): 40

abc: 4.002 4.002 6.629
angles: 90.00 90.00 120.00
Sites, in units of the cell vectors:
H1 0.667 0.333 0.324
Sr1 0.333 0.667 0.577
Ac1 0.000 0.000 0.099

Sr3Ac12H5: relaxed, GGA-PBE.

Values from the calculation:
Uncorrected energy (eV/cell): -280.21
Crystal system: cubic
DOS(E_F) (states/eV/f.u.): 21.33
Symmetry: Ia-3d (230)

abc: 15.667 15.667 15.667
angles: 109.47 109.47 109.47
Sites, in units of the cell vectors:
H1 0.375 0.250 0.125
Ac1 0.903 0.308 0.504
Ac2 0.692 0.595 0.196
H2 0.125 0.375 0.250
Ac3 0.905 0.101 0.597
Ac4 0.996 0.399 0.804
Ac5 0.692 0.097 0.996
Ac6 0.696 0.504 0.601
Ac7 0.595 0.903 0.399
Ac8 0.899 0.095 0.903
Ac9 0.804 0.899 0.996
H3 0.875 0.250 0.625
Ac10 0.196 0.095 0.692
Sr1 0.750 0.875 0.625
Ac11 0.097 0.405 0.101
Ac12 0.399 0.403 0.595
H4 0.125 0.750 0.375
H5 0.750 0.125 0.875
Sr2 0.125 0.250 0.875
Ac13 0.403 0.399 0.095
Ac14 0.595 0.692 0.696
Ac15 0.808 0.504 0.403
Ac16 0.504 0.696 0.101
Ac17 0.405 0.308 0.304
Ac18 0.192 0.696 0.095
Ac19 0.196 0.101 0.004
Ac20 0.504 0.808 0.903
Ac21 0.304 0.808 0.405
Ac22 0.496 0.304 0.899
Ac23 0.308 0.903 0.004
Ac24 0.304 0.496 0.399
H6 0.250 0.375 0.625
H7 0.500 0.000 0.000
Ac25 0.192 0.496 0.597
Sr3 0.250 0.625 0.875
H8 0.000 0.000 0.500
H9 0.625 0.750 0.875
Sr4 0.875 0.125 0.250
Ac26 0.403 0.004 0.808
H10 0.250 0.875 0.125
Ac27 0.004 0.601 0.196
H11 0.375 0.125 0.750
Sr5 0.125 0.875 0.750
Ac28 0.095 0.196 0.192
Sr6 0.375 0.625 0.250
Sr7 0.750 0.375 0.125
Ac29 0.101 0.196 0.504
H12 0.000 0.000 0.000
Ac30 0.095 0.899 0.403
Ac31 0.496 0.192 0.097
Ac32 0.808 0.304 0.905
H13 0.875 0.625 0.750
H14 0.500 0.500 0.000
Ac33 0.597 0.601 0.905
Sr8 0.875 0.750 0.125
H15 0.000 0.500 0.000
Sr9 0.625 0.375 0.750
Ac34 0.905 0.804 0.808
H16 0.500 0.000 0.500
H17 0.500 0.500 0.500
Ac35 0.899 0.804 0.496
Ac36 0.399 0.996 0.304
Ac37 0.903 0.595 0.899
Ac38 0.308 0.405 0.804
Ac39 0.601 0.004 0.696
H18 0.000 0.500 0.500
Sr10 0.375 0.750 0.625
Ac40 0.101 0.905 0.097
H19 0.750 0.625 0.375
Ac41 0.405 0.097 0.601
Ac42 0.696 0.192 0.595
Ac43 0.804 0.905 0.308
Ac44 0.097 0.692 0.496
Ac45 0.597 0.996 0.192
Sr11 0.625 0.250 0.375
Ac46 0.004 0.403 0.308
Sr12 0.250 0.125 0.375
Ac47 0.996 0.597 0.692
H20 0.625 0.875 0.250
Ac48 0.601 0.597 0.405

Sr3AcH8: relaxed, GGA-PBE.

Values from the calculation:
Uncorrected energy (eV/cell): -42.51
Crystal system: cubic
DOS(E_F) (states/eV/f.u.): 1.45
Symmetry: Pm-3m (221)

abc: 5.842 5.842 5.842
angles: 90.00 90.00 90.00
Sites, in units of the cell vectors:
H1 0.249 0.249 0.751
H2 0.249 0.751 0.249
H3 0.751 0.249 0.751
H4 0.751 0.751 0.751
Sr1 0.500 0.000 0.500
Sr2 0.500 0.500 0.000
Ac1 0.000 0.000 0.000
H5 0.249 0.249 0.249
Sr3 0.000 0.500 0.500
H6 0.249 0.751 0.751
H7 0.751 0.249 0.249
H8 0.751 0.751 0.249

SrAcH2: relaxed, GGA-PBE.

Values from the calculation:
Crystal system: trigonal
DOS(E_F) (states/eV/f.u.): 2.49
Symmetry: R-3m (166)
Energy above the lowest structure with this stoichiometry (meV per atom): 0

abc: 3.879 3.879 6.757
angles: 73.32 73.32 60.00
Sites, in units of the cell vectors:
H1 0.252 0.252 0.245
Ac1 0.500 0.500 0.500
Sr1 0.000 0.000 0.000
H2 0.748 0.748 0.755

SrAc2H: relaxed, GGA-PBE.

Values from the calculation:
Uncorrected energy (eV/cell): -13.25
Crystal system: trigonal
DOS(E_F) (states/eV/f.u.): 4.24
Symmetry: R-3m (166)

abc: 3.963 3.963 11.051
angles: 79.67 79.67 60.00
Sites, in units of the cell vectors:
Ac1 0.881 0.881 0.358
H1 0.500 0.500 0.500
Ac2 0.119 0.119 0.642
Sr1 0.000 0.000 0.000

SrAc2H8: relaxed, GGA-PBE.

Values from the calculation:
Uncorrected energy (eV/cell): -43.01
Crystal system: orthorhombic
DOS(E_F) (states/eV/f.u.): 0.00
Symmetry: Immm (71)

abc: 4.167 5.643 7.134
angles: 113.30 106.98 90.00
Sites, in units of the cell vectors:
Ac1 0.177 0.677 0.354
H1 0.185 0.185 0.370
H2 0.654 0.420 0.307
H3 0.000 0.274 0.000
Sr1 0.500 0.000 0.000
H4 0.346 0.580 0.693
Ac2 0.823 0.323 0.646
H5 0.815 0.815 0.630
H6 0.346 0.112 0.693
H7 0.654 0.888 0.307
H8 0.000 0.726 0.000

SrAcH: relaxed, GGA-PBE.

Values from the calculation:
Crystal system: tetragonal
DOS(E_F) (states/eV/f.u.): 2.31
Symmetry: I4mm (107)
Energy above the lowest structure with this stoichiometry (meV per atom): 139

abc: 3.721 3.721 7.477
angles: 104.41 104.41 90.00
Sites, in units of the cell vectors:
H1 0.214 0.214 0.429
Ac1 0.034 0.034 0.068
Sr1 0.752 0.752 0.503

Sr4Ac2H: relaxed, GGA-PBE.

Values from the calculation:
Uncorrected energy (eV/cell): -17.23
Crystal system: tetragonal
DOS(E_F) (states/eV/f.u.): 8.35
Symmetry: I4/mmm (139)

abc: 5.216 5.216 11.665
angles: 102.92 102.92 90.00
Sites, in units of the cell vectors:
Sr1 0.000 0.500 0.000
Sr2 0.869 0.869 0.738
Sr3 0.500 0.000 0.000
Sr4 0.131 0.131 0.262
Ac1 0.692 0.692 0.385
Ac2 0.308 0.308 0.615
H1 0.000 0.000 0.000

Sr3AcH: relaxed, GGA-PBE.

Values from the calculation:
Uncorrected energy (eV/cell): -12.59
Crystal system: cubic
DOS(E_F) (states/eV/f.u.): 5.68
Symmetry: Pm-3m (221)

abc: 5.772 5.772 5.772
angles: 90.00 90.00 90.00
Site moments in Bohr magnetons follow the coordinates.
Sites, in units of the cell vectors:
Ac1 0.500 0.500 0.500  0.07
Sr1 0.500 0.000 0.000  0.02
H1 0.000 0.000 0.000  0.00
Sr2 0.000 0.500 0.000  0.02
Sr3 0.000 0.000 0.500  0.02

SrAcH2: relaxed, GGA-PBE.

Values from the calculation:
Crystal system: trigonal
DOS(E_F) (states/eV/f.u.): 1.08
Symmetry: R3m (160)
Energy above the lowest structure with this stoichiometry (meV per atom): 4

abc: 4.140 4.140 7.280
angles: 73.48 73.48 60.00
Site moments in Bohr magnetons follow the coordinates.
Sites, in units of the cell vectors:
H1 0.043 0.043 0.872  0.00
Sr1 0.465 0.465 0.606  0.10
Ac1 0.651 0.651 0.046  0.20
H2 0.341 0.341 0.976  0.00

What is the DOS(E_F) in the third record?
2.38 states/eV/f.u.

The highest DOS(E_F) belongs to which entry?
Sr3Ac12H5

What did the sixth record say?
SrAcH2: relaxed, GGA-PBE.

Values from the calculation:
Crystal system: trigonal
DOS(E_F) (states/eV/f.u.): 2.49
Symmetry: R-3m (166)
Energy above the lowest structure with this stoichiometry (meV per atom): 0

abc: 3.879 3.879 6.757
angles: 73.32 73.32 60.00
Sites, in units of the cell vectors:
H1 0.252 0.252 0.245
Ac1 0.500 0.500 0.500
Sr1 0.000 0.000 0.000
H2 0.748 0.748 0.755